4
Lattice="2.889 0.000 0.000 0.000 3.357 0.000 0.000 0.000 5.951" Properties=species:S:1:pos:R:3 comment="CoRh2Br (SCAN, PBEsol geometry)" sg="No. 25" relative_energy_mev_per_atom=11 m_tot_mub_per_fu=3.428 dft_energy_ev_per_cell=-102.1 pbc="T T T"
Rh 0.000 0.000 5.842
Rh 1.444 1.678 1.333
Co 1.444 1.678 4.632
Br 0.000 0.000 3.071



4
Lattice="2.843 0.000 0.000 1.421 2.462 0.000 1.421 0.821 8.185" Properties=species:S:1:pos:R:3 comment="CoRh2Br (SCAN, PBEsol geometry)" sg="No. 166" relative_energy_mev_per_atom=0 m_tot_mub_per_fu=3.657 dft_energy_ev_per_cell=-102.1 pbc="T T T"
Rh 1.421 0.821 1.929
Rh 4.264 2.462 6.256
Br 2.843 1.641 4.093
Co 0.000 0.000 0.000



5
Lattice="-3.018 -2.867 -0.569 2.780 -3.599 3.384 -2.797 2.055 4.482" Properties=species:S:1:pos:R:3 comment="Sr2CoRhBr (SCAN, PBEsol geometry)" sg="No. 123" m_tot_mub_per_fu=1.266 dft_energy_ev_per_cell=-114.0 pbc="T T T"
Br 0.000 0.000 0.000
Rh -1.517 -2.206 3.649
Co -1.509 -1.434 -0.285
Sr -1.398 1.027 2.241
Sr 1.390 -1.799 1.692



5
Lattice="-1.136 -2.881 -3.423 0.992 -3.663 2.754 -4.435 -0.058 1.520" Properties=species:S:1:pos:R:3 comment="Co2TeRhBr (SCAN, PBEsol geometry)" sg="No. 123" m_tot_mub_per_fu=5.482 dft_energy_ev_per_cell=-120.0 pbc="T T T"
Br -0.568 -1.440 -1.712
Te -2.289 -3.301 0.425
Rh 0.000 0.000 0.000
Co -2.217 -0.029 0.760
Co 0.496 -1.831 1.377



4
Lattice="-1.404 0.859 3.208 -3.491 0.885 0.175 -2.625 -6.540 1.749" Properties=species:S:1:pos:R:3 comment="CoRuBr2 (SCAN, PBEsol geometry)" sg="No. 8" m_tot_mub_per_fu=1.786 dft_energy_ev_per_cell=-90.2 pbc="T T T"
Br -1.992 -1.894 1.354
Br -7.073 -4.215 4.829
Co -4.133 -3.704 2.811
Ru -5.602 -2.176 3.835



4
Lattice="3.432 0.000 0.000 1.716 2.972 0.000 1.716 0.991 6.971" Properties=species:S:1:pos:R:3 comment="CoS2Br (SCAN, PBEsol geometry)" sg="No. 166" m_tot_mub_per_fu=0.000 dft_energy_ev_per_cell=-57.2 pbc="T T T"
S 5.148 2.972 2.439
S 1.716 0.991 4.532
Br 0.000 0.000 0.000
Co 3.432 1.981 3.486



5
Lattice="4.553 0.000 0.000 0.000 4.701 0.000 0.000 0.000 4.701" Properties=species:S:1:pos:R:3 comment="CoSeSBr2 (SCAN, PBEsol geometry)" sg="No. 123" m_tot_mub_per_fu=0.005 dft_energy_ev_per_cell=-82.8 pbc="T T T"
Br 0.000 0.000 2.351
Br 0.000 2.351 0.000
Se 2.276 0.000 0.000
Co 0.000 0.000 0.000
S 2.276 2.351 2.351



4
Lattice="-0.261 2.898 1.253 -3.895 -1.385 2.390 5.351 -2.365 2.581" Properties=species:S:1:pos:R:3 comment="CoSb2Br (SCAN, PBEsol geometry)" sg="No. 71" relative_energy_mev_per_atom=376 m_tot_mub_per_fu=1.612 dft_energy_ev_per_cell=-110.2 pbc="T T T"
Br -1.948 -0.692 1.195
Sb 1.187 -0.583 1.596
Sb 0.008 -0.268 4.627
Co -0.131 1.449 0.627



4
Lattice="3.857 0.000 0.000 -1.929 3.344 -0.114 0.000 -1.940 7.870" Properties=species:S:1:pos:R:3 comment="CoSb2Br (SCAN, PBEsol geometry)" sg="No. 12" relative_energy_mev_per_atom=0 m_tot_mub_per_fu=0.000 dft_energy_ev_per_cell=-111.7 pbc="T T T"
Sb 1.929 1.296 5.012
Sb 0.000 0.108 2.743
Br 0.000 0.000 0.000
Co 1.929 -0.970 3.935



4
Lattice="-1.792 -0.448 -2.626 2.272 -1.910 -1.225 -3.461 -6.330 3.454" Properties=species:S:1:pos:R:3 comment="CoSb2Br (SCAN, PBEsol geometry)" sg="No. 10" relative_energy_mev_per_atom=239 m_tot_mub_per_fu=1.123 dft_energy_ev_per_cell=-110.7 pbc="T T T"
Sb -2.398 -4.385 2.390
Sb -2.854 -2.393 -1.562
Br 0.240 -1.179 -1.925
Co -1.490 -4.344 -0.198



4
Lattice="-0.211 -0.601 -3.202 -1.940 -2.554 0.608 -7.080 5.255 -0.521" Properties=species:S:1:pos:R:3 comment="CoSb2Br (SCAN, PBEsol geometry)" sg="No. 99" relative_energy_mev_per_atom=325 m_tot_mub_per_fu=0.002 dft_energy_ev_per_cell=-110.4 pbc="T T T"
Co -7.658 3.308 -1.781
Br -3.799 2.820 -0.279
Sb -5.833 4.329 -0.429
Sb -2.561 -0.475 -1.406



5
Lattice="-0.699 -1.456 -4.229 0.875 -5.106 1.614 -5.289 -0.568 1.070" Properties=species:S:1:pos:R:3 comment="Sc2CoSbBr (SCAN, PBEsol geometry)" sg="No. 123" m_tot_mub_per_fu=0.966 dft_energy_ev_per_cell=-101.6 pbc="T T T"
Sc 0.437 -2.553 0.807
Sc -2.645 -0.284 0.535
Br -2.557 -3.565 -0.773
Sb 0.000 0.000 0.000
Co -0.349 -0.728 -2.115



no.,density (g/cm3)
1,9.92
2,9.99
3,5.13
4,7.01
5,6.50
6,4.74
7,5.44
8,7.34
9,6.31
10,7.70
11,6.75
12,4.37